(1)
Material: SrCIO2
Method: DFT, PBE-GGA
State: relaxed

CIF file:
```
data_SrCIO2
_space_group_name_H-M_alt 'P 4/m m m'
_space_group_IT_number 123
_space_group_name_Hall '-P 4 2'
_cell_length_a 4.477
_cell_length_b 4.477
_cell_length_c 7.457
_cell_angle_alpha 90.00
_cell_angle_beta 90.00
_cell_angle_gamma 90.00
loop_
_atom_site_label
_atom_site_fract_x
_atom_site_fract_y
_atom_site_fract_z
Sr1 0.000 0.000 0.000
C1 0.500 0.500 0.500
I1 0.000 0.000 0.500
O1 0.000 0.500 0.000
```

Results
The density of states at the Fermi level is 0.7704 states/eV/atom. For the uncorrected formation energy, the calculation gives 4.5 eV/f.u. For the polymorph energy (0 for the lowest one), the calculation gives 551 meV per atom.

=====

(2)
Material: Sr2C2IO6
Method: DFT, PBE-GGA
State: relaxed

CIF file:
```
data_Sr2C2IO6
_space_group_name_H-M_alt 'P -1'
_space_group_IT_number 2
_cell_length_a 5.686
_cell_length_b 6.193
_cell_length_c 6.525
_cell_angle_alpha 92.87
_cell_angle_beta 107.16
_cell_angle_gamma 114.60
loop_
_space_group_symop_operation_xyz
'x,y,z'
'-x,-y,-z'
loop_
_atom_site_label
_atom_site_fract_x
_atom_site_fract_y
_atom_site_fract_z
Sr1 0.132 0.312 0.220
C1 0.227 0.323 0.791
I1 0.500 0.000 0.500
O1 0.174 0.488 0.867
O2 0.179 0.129 0.870
O3 0.338 0.363 0.637
```

Results
The density of states at the Fermi level is 0.0165 states/eV/atom. For the uncorrected formation energy, the calculation gives -21.1 eV/f.u.

=====

(3)
Material: SrCIO2
Method: DFT, PBE-GGA
State: relaxed

CIF file:
```
data_SrCIO2
_space_group_name_H-M_alt 'P 4/m m m'
_space_group_IT_number 123
_space_group_name_Hall '-P 4 2'
_cell_length_a 4.365
_cell_length_b 4.365
_cell_length_c 4.313
_cell_angle_alpha 90.00
_cell_angle_beta 90.00
_cell_angle_gamma 90.00
loop_
_atom_site_label
_atom_site_fract_x
_atom_site_fract_y
_atom_site_fract_z
Sr1 0.000 0.000 0.000
C1 0.500 0.500 0.500
I1 0.500 0.500 0.000
O1 0.000 0.500 0.500
```

Results
The density of states at the Fermi level is 0.9791 states/eV/atom. For the uncorrected formation energy, the calculation gives 1.7 eV/f.u. For the polymorph energy (0 for the lowest one), the calculation gives 0 meV per atom.